(1)
DFT (PBE-GGA) results for AcDyGaCu after structural relaxation.

As for the energy of formation from the pure elements: -0.28 eV/atom. The calculation puts the total magnetic moment at 0.00 μB/f.u.

Cell: 7.440 7.440 7.440 Å, 90.00 90.00 90.00°
Space group F-43m (No. 216)
Inequivalent atoms, fractional coordinates:
1 Ac 0.000 0.000 0.000 x4
2 Dy 0.000 0.000 0.500 x4
3 Ga 0.250 0.250 0.250 x4
4 Cu 0.250 0.250 0.750 x4

***

(2)
DFT (PBE-GGA) results for LaZrGa3 after structural relaxation.

The value obtained for the excess energy over the best structure of this formula in the dataset is 0 meV/atom. As for the energy of formation from the pure elements: -0.60 eV/atom. The calculation puts the total magnetic moment at 0.00 μB/f.u.

Cell: 4.183 25.518 4.142 Å, 90.00 90.00 90.00°
Space group Cmcm (No. 63)
Inequivalent atoms, fractional coordinates:
1 La 0.000 0.078 0.250 x4
2 Zr 0.000 0.206 0.750 x4
3 Ga 0.000 0.315 0.750 x4
4 Ga 0.000 0.374 0.250 x4
5 Ga 0.000 0.475 0.250 x4

***

(3)
DFT (PBE-GGA) results for CsBe3As after structural relaxation.

The value obtained for the excess energy over the best structure of this formula in the dataset is 0 meV/atom. As for the energy of formation from the pure elements: 1.10 eV/atom. The calculation puts the total magnetic moment at 0.00 μB/f.u.

Cell: 4.861 4.861 4.861 Å, 90.00 90.00 90.00°
Space group Pm-3m (No. 221)
Inequivalent atoms, fractional coordinates:
1 Cs 0.000 0.000 0.000 x1
2 Be 0.000 0.500 0.500 x3
3 As 0.500 0.500 0.500 x1

***

Look up the total magnetic moment of the first one.
0.00 μB/f.u.

***

Look up the energy of formation from the pure elements of the third one.
1.10 eV/atom

***

Look up the total magnetic moment of the third one.
0.00 μB/f.u.

***

Look up the total magnetic moment of the first one.
0.00 μB/f.u.